Record 1
Computed, not measured: a geometry-optimized Ag5SbS5 structure at the PBE level of DFT.

The space group is C2/m (No. 12) and the conventional cell measures 12.185, 5.215 and 7.598 Å, with angles of 90.00, 108.68 and 90.00 degrees. The inequivalent atoms are Ag at (0.000, 0.000, 0.000), Ag at (0.159, 0.500, 0.318), Ag at (0.159, 0.500, 0.839), Sb at (0.000, 0.000, 0.500), S at (0.000, 0.500, 0.500), S at (0.148, 0.000, 0.308) and S at (0.174, 0.000, 0.829).

Its size of the total moment is 0.0 Bohr magnetons per cell. For the uncorrected formation energy, the calculation gives -2 kJ/mol of atoms.

***

Record 2
Computed, not measured: a geometry-optimized AgSbS2 structure at the PBE level of DFT.

The space group is R-3m (No. 166, hexagonal axes) and the conventional cell measures 3.9664, 3.9664 and 18.9829 Å, with angles of 90.00, 90.00 and 120.00 degrees. The inequivalent atoms are Ag at (0.0000, 0.0000, 0.0000), Sb at (0.0000, 0.0000, 0.5000) and S at (0.0000, 0.0000, 0.2501).

Its size of the total moment is 0.0 Bohr magnetons per cell. For the uncorrected formation energy, the calculation gives -13 kJ/mol of atoms.

***

Record 3
Computed, not measured: a geometry-optimized Ag2SbS structure at the PBE level of DFT.

The space group is I-42d (No. 122) and the conventional cell measures 6.656, 6.656 and 9.031 Å, with angles of 90.00, 90.00 and 90.00 degrees. The inequivalent atoms are Ag at (0.217, 0.250, 0.125), Sb at (0.000, 0.000, 0.500) and S at (0.000, 0.000, 0.000).

Its size of the total moment is 0.0 Bohr magnetons per cell. For the uncorrected formation energy, the calculation gives 20 kJ/mol of atoms.

***

Record 4
Computed, not measured: a geometry-optimized AgSb3S4 structure at the PBE level of DFT.

The space group is Pmn2_1 (No. 31) and the conventional cell measures 10.903, 6.652 and 5.750 Å, with angles of 90.00, 90.00 and 90.00 degrees. The inequivalent atoms are Ag at (0.000, 0.243, 0.000), Sb at (0.000, 0.958, 0.497), Sb at (0.244, 0.274, 0.541), S at (0.000, 0.338, 0.568), S at (0.000, 0.852, 0.070) and S at (0.225, 0.340, 0.112).

Its size of the total moment is 0.0 Bohr magnetons per cell. For the uncorrected formation energy, the calculation gives -4 kJ/mol of atoms.

***

Record 5
Computed, not measured: a geometry-optimized Ag5Sb3S12 structure at the PBE level of DFT.

The space group is Ia-3d (No. 230) and the conventional cell measures 15.358, 15.358 and 15.358 Å, with angles of 90.00, 90.00 and 90.00 degrees. The inequivalent atoms are Ag at (0.000, 0.000, 0.000), Ag at (0.000, 0.250, 0.375), Sb at (0.000, 0.250, 0.125) and S at (0.017, 0.062, 0.652).

Its size of the total moment is 0.0 Bohr magnetons per cell. For the uncorrected formation energy, the calculation gives 22 kJ/mol of atoms.

***

Record 6
Computed, not measured: a geometry-optimized AgSb2S6 structure at the PBE level of DFT.

The space group is P4_2/mnm (No. 136) and the conventional cell measures 6.069, 6.069 and 11.584 Å, with angles of 90.00, 90.00 and 90.00 degrees. The inequivalent atoms are Ag at (0.000, 0.000, 0.000), Sb at (0.000, 0.000, 0.333), S at (0.195, 0.195, 0.500) and S at (0.196, 0.196, 0.166).

Its size of the total moment is 0.0 Bohr magnetons per cell. For the uncorrected formation energy, the calculation gives 17 kJ/mol of atoms.

***

Record 7
Computed, not measured: a geometry-optimized Ag2SbS structure at the PBE level of DFT.

The space group is R-3m (No. 166, hexagonal axes) and the conventional cell measures 3.8453, 3.8453 and 19.8962 Å, with angles of 90.00, 90.00 and 120.00 degrees. The inequivalent atoms are Ag at (0.0000, 0.0000, 0.2405), Sb at (0.0000, 0.0000, 0.0000) and S at (0.0000, 0.0000, 0.5000).

Its size of the total moment is 0.0 Bohr magnetons per cell. For the uncorrected formation energy, the calculation gives 8 kJ/mol of atoms.

***

Record 8
Computed, not measured: a geometry-optimized Ag2SbS2 structure at the PBE level of DFT.

The space group is P4/mbm (No. 127) and the conventional cell measures 7.544, 7.544 and 3.592 Å, with angles of 90.00, 90.00 and 90.00 degrees. The inequivalent atoms are Ag at (0.131, 0.369, 0.000), Sb at (0.000, 0.000, 0.500) and S at (0.178, 0.678, 0.500).

Its relative energy among the computed polymorphs is 0.1264 eV per atom. Its size of the total moment is 0.0 Bohr magnetons per cell. For the uncorrected formation energy, the calculation gives 10 kJ/mol of atoms.

***

So what do the calculations give for DFT total energy? Going down the list: -3.571 -3.945 -3.285 -4.009 -3.584 -3.808 -3.405 -3.514 eV/atom.